one:
The following is a DFT calculation (PBE) of a relaxed structure of Mg2VCo.

Cell lengths 6.371, 6.371, 6.371 Å; angles 90.00, 90.00, 90.00 degrees
Space group Fm-3m (No. 225)
Symmetry-distinct sites (fractional):
Mg: 0.250 0.250 0.250 x8
V: 0.000 0.000 0.000 x4
Co: 0.000 0.000 0.500 x4



two:
The following is a DFT calculation (PBE) of a relaxed structure of Mg2VCo.

Cell lengths 7.295, 7.295, 5.216 Å; angles 90.00, 90.00, 90.00 degrees
Space group I-42d (No. 122)
Symmetry-distinct sites (fractional):
Mg: 0.211 0.250 0.125 x8
V: 0.000 0.000 0.500 x4
Co: 0.000 0.000 0.000 x4



The structure with the least stability is two.



one:
The following is a DFT calculation (PBE) of a relaxed structure of MgVCo3.

Cell lengths 4.261, 4.261, 4.261 Å; angles 90.00, 90.00, 90.00 degrees
Space group Pm-3m (No. 221)
Symmetry-distinct sites (fractional):
Mg: 0.000 0.000 0.000 x1
V: 0.500 0.500 0.500 x1
Co: 0.000 0.000 0.500 x3



two:
The following is a DFT calculation (PBE) of a relaxed structure of MgVCo3.

Cell lengths 4.234, 4.234, 4.234 Å; angles 90.00, 90.00, 90.00 degrees
Space group Pm-3m (No. 221)
Symmetry-distinct sites (fractional):
Mg: 0.000 0.000 0.000 x1
V: 0.500 0.500 0.500 x1
Co: 0.000 0.500 0.500 x3



The structure with the least stability is one.



one:
The following is a DFT calculation (PBE) of a relaxed structure of Y2Mg3Co2.

Cell lengths 10.210, 4.139, 7.013 Å; angles 90.00, 99.19, 90.00 degrees
Space group C2/m (No. 12)
Symmetry-distinct sites (fractional):
Y: 0.128 0.000 0.368 x4
Mg: 0.000 0.500 0.000 x2
Mg: 0.182 0.000 0.854 x4
Co: 0.075 0.500 0.635 x4



two:
The following is a DFT calculation (PBE) of a relaxed structure of Y2Mg3Co2.

Cell lengths 3.803, 20.792, 3.864 Å; angles 90.00, 90.00, 90.00 degrees
Space group Cmmm (No. 65)
Symmetry-distinct sites (fractional):
Y: 0.000 0.176 0.000 x4
Mg: 0.000 0.000 0.000 x2
Mg: 0.000 0.419 0.500 x4
Co: 0.000 0.280 0.500 x4



The structure with the least stability is one.



one:
The following is a DFT calculation (PBE) of a relaxed structure of Mg3ZnCo.

Cell lengths 4.786, 4.786, 4.786 Å; angles 90.00, 90.00, 90.00 degrees
Space group Pm-3m (No. 221)
Symmetry-distinct sites (fractional):
Mg: 0.000 0.000 0.500 x3
Zn: 0.500 0.500 0.500 x1
Co: 0.000 0.000 0.000 x1



two:
The following is a DFT calculation (PBE) of a relaxed structure of Mg3ZnCo.

Cell lengths 4.876, 4.876, 4.876 Å; angles 90.00, 90.00, 90.00 degrees
Space group Pm-3m (No. 221)
Symmetry-distinct sites (fractional):
Mg: 0.000 0.000 0.500 x3
Zn: 0.000 0.000 0.000 x1
Co: 0.500 0.500 0.500 x1



The structure with the least stability is two.